! GaPbAu (GGA-PBE, optimized geometry); values from VASP
! * spin magnetization: 0.000 μB per formula unit
! * E_form: -114 meV per atom
! * space-group type: P-1
! * final energy: -3.4511 eV per atom
! * mass density: 10.791 Mg/m³
! * calculated volume: 72.93 Å³/f.u.
&SYSTEM
  ibrav = 0, nat = 6, ntyp = 3
/
ATOMIC_SPECIES
Pb 207.20 Pb.upf
Au 196.97 Au.upf
Ga 69.72 Ga.upf
ATOMIC_POSITIONS crystal
Pb 0.5179 0.9624 0.8273
Pb 0.0372 0.4856 0.5628
Au 0.0351 0.5383 0.0078
Au 0.5201 0.9100 0.3821
Ga 0.5957 0.1598 0.1022
Ga 0.9594 0.2887 0.2878
CELL_PARAMETERS angstrom
-4.2183 1.5099 -0.2210
-2.0812 -1.9802 -2.2874
-5.7131 -6.4850 5.5697